This record from Alexandria via LeMat-Bulk describes crystalline AlSi4Ru at its relaxed geometry. The functional is PBE-GGA.

## Properties
The value obtained for the formation energy without anion corrections is 445 meV per atom.

Cell: 7.010 7.010 7.010 Å, 90.00 90.00 90.00°
Space group F-43m (No. 216)
Unique sites:
Al 0.000 0.000 0.000 [4 per cell]
Si 0.125 0.125 0.375 [16 per cell]
Ru 0.250 0.250 0.750 [4 per cell]

This record from Alexandria via LeMat-Bulk describes crystalline Dy2Mg3Ni2 at its relaxed geometry. The functional is PBE-GGA.

## Properties
As for the formation energy: -272 meV per atom.

Cell: 10.202 3.872 7.474 Å, 90.00 97.00 90.00°
Space group C2/m (No. 12)
Unique sites:
Dy 0.124 0.000 0.366 [4 per cell]
Mg 0.000 0.500 0.000 [2 per cell]
Mg 0.185 0.000 0.854 [4 per cell]
Ni 0.082 0.500 0.637 [4 per cell]

This record from Alexandria via LeMat-Bulk describes crystalline SrMoPd at its relaxed geometry. The functional is PBE-GGA.

## Properties
Its energy above the most stable polymorph in this dataset is 0.0450 eV per atom. As for the formation energy: 109 meV per atom.

Cell: 11.580 3.453 8.312 Å, 90.00 120.14 90.00°
Space group C2/m (No. 12)
Unique sites:
Sr 0.073 0.000 0.291 [4 per cell]
Mo 0.214 0.500 0.065 [4 per cell]
Pd 0.131 0.500 0.659 [4 per cell]

This record from Alexandria via LeMat-Bulk describes crystalline FePtSe2 at its relaxed geometry. The functional is PBE-GGA.

## Properties
Its energy above the most stable polymorph in this dataset is 0.2519 eV per atom. The value obtained for the formation energy without anion corrections is 70 meV per atom.

Cell: 2.899 2.899 8.646 Å, 90.00 90.00 90.00°
Space group P4mm (No. 99)
Unique sites:
Fe 0.000 0.000 0.000 [1 per cell]
Pt 0.500 0.500 0.206 [1 per cell]
Se 0.000 0.000 0.432 [1 per cell]
Se 0.500 0.500 0.833 [1 per cell]

This record from Alexandria via LeMat-Bulk describes crystalline BPb2W at its relaxed geometry. The functional is PBE-GGA.

## Properties
As for the formation energy: 1158 meV per atom.

Cell: 9.487 9.487 4.230 Å, 90.00 90.00 90.00°
Space group I-42d (No. 122)
Unique sites:
B 0.000 0.000 0.000 [4 per cell]
Pb 0.096 0.250 0.125 [8 per cell]
W 0.000 0.000 0.500 [4 per cell]

This record from Alexandria via LeMat-Bulk describes crystalline NiPbW at its relaxed geometry. The functional is PBE-GGA.

## Properties
Its energy above the most stable polymorph in this dataset is 0.2287 eV per atom. As for the formation energy: 856 meV per atom.

Cell: 6.069 6.069 6.069 Å, 90.00 90.00 90.00°
Space group F-43m (No. 216)
Unique sites:
Ni 0.000 0.000 0.000 [4 per cell]
Pb 0.250 0.250 0.250 [4 per cell]
W 0.250 0.250 0.750 [4 per cell]

| no. | M_tot (μB/atom) | total DFT energy (no corrections) (eV per atom) |
| --- | --- | --- |
| 1 | 0.000 | -5.340 |
| 2 | 0.000 | -3.922 |
| 3 | 0.000 | -5.793 |
| 4 | 0.629 | -5.298 |
| 5 | 0.184 | -5.604 |
| 6 | 0.597 | -6.625 |